A plane-wave DFT calculation with GGA-PBE was carried out for a geometry-optimized Li3Cd4Pd structure.

Cell: 5.828 5.963 8.429 Å, 90.00 90.00 90.00°
Element x y z (fractional)
Pd: 0.315 0.500 0.500
Pd: 0.815 0.500 0.000
Cd: 0.564 0.745 0.750
Cd: 0.064 0.255 0.250
Cd: 0.064 0.255 0.750
Cd: 0.314 0.000 0.000
Cd: 0.815 0.500 0.500
Cd: 0.315 0.500 0.000
Cd: 0.814 0.000 0.500
Cd: 0.564 0.745 0.250
Li: 0.564 0.263 0.750
Li: 0.814 0.000 0.000
Li: 0.064 0.737 0.750
Li: 0.064 0.737 0.250
Li: 0.314 0.000 0.500
Li: 0.564 0.263 0.250

Computed properties:
- DOS at the Fermi energy: 0.284 states/eV/atom
- Spin magnetization: 0.00 μB per formula unit

=====

A plane-wave DFT calculation with GGA-PBE was carried out for a geometry-optimized LiCd4Pd3 structure.

Cell: 4.542 4.542 7.527 Å, 107.49 107.56 90.00°
Element x y z (fractional)
Pd: 0.751 0.250 0.502
Pd: 0.249 0.750 0.498
Pd: 0.000 0.500 0.000
Li: 0.500 0.000 0.000
Cd: 0.875 0.875 0.750
Cd: 0.375 0.375 0.750
Cd: 0.125 0.125 0.250
Cd: 0.625 0.625 0.250

Computed properties:
- DOS at the Fermi energy: 0.312 states/eV/atom
- Spin magnetization: 0.00 μB per formula unit

=====

A plane-wave DFT calculation with GGA-PBE was carried out for a geometry-optimized Li12Cd2Pd structure.

Cell: 5.566 5.566 19.423 Å, 90.00 90.00 90.00°
Element x y z (fractional)
Li: 0.750 0.250 0.920
Li: 0.750 0.250 0.080
Li: 0.000 0.000 0.337
Li: 0.750 0.750 0.920
Li: 0.000 0.000 0.795
Li: 0.250 0.250 0.920
Li: 0.000 0.000 0.663
Li: 0.250 0.750 0.920
Li: 0.821 0.321 0.564
Li: 0.750 0.750 0.080
Li: 0.679 0.821 0.564
Li: 0.179 0.321 0.436
Li: 0.250 0.750 0.080
Li: 0.821 0.679 0.436
Li: 0.000 0.000 0.205
Li: 0.500 0.500 0.663
Li: 0.500 0.500 0.205
Li: 0.500 0.500 0.337
Li: 0.679 0.179 0.436
Li: 0.321 0.821 0.436
Li: 0.500 0.500 0.795
Li: 0.250 0.250 0.080
Li: 0.179 0.679 0.564
Li: 0.321 0.179 0.564
Cd: 0.500 0.000 0.708
Cd: 0.000 0.500 0.292
Cd: 0.500 0.000 0.292
Cd: 0.000 0.500 0.708
Pd: 0.000 0.500 0.000
Pd: 0.500 0.000 0.000

Computed properties:
- DOS at the Fermi energy: 0.438 states/eV/atom
- Spin magnetization: 0.00 μB per formula unit

=====

A plane-wave DFT calculation with GGA-PBE was carried out for a geometry-optimized Li4Cd7Pd structure.

Cell: 5.094 7.439 7.788 Å, 64.31 70.91 69.98°
Element x y z (fractional)
Li: 0.575 0.273 0.576
Li: 0.425 0.727 0.424
Li: 0.273 0.217 0.238
Li: 0.727 0.783 0.762
Cd: 0.292 0.552 0.865
Cd: 0.939 0.400 0.722
Cd: 0.061 0.600 0.278
Cd: 0.708 0.448 0.135
Cd: 0.816 0.994 0.373
Cd: 0.500 0.000 0.000
Cd: 0.184 0.006 0.627
Pd: 0.000 0.000 0.000

Computed properties:
- DOS at the Fermi energy: 0.312 states/eV/atom
- Spin magnetization: 0.00 μB per formula unit

=====

A plane-wave DFT calculation with GGA-PBE was carried out for a geometry-optimized Li11Cd9Pd4 structure.

Cell: 3.000 12.349 12.349 Å, 113.82 90.00 90.00°
Element x y z (fractional)
Li: 0.000 0.299 0.299
Li: 0.000 0.371 0.629
Li: 0.000 0.059 0.409
Li: 0.000 0.840 0.160
Li: 0.000 0.941 0.591
Li: 0.000 0.629 0.371
Li: 0.000 0.160 0.840
Li: 0.000 0.701 0.701
Li: 0.000 0.409 0.059
Li: 0.000 0.000 0.000
Li: 0.000 0.591 0.941
Pd: 0.500 0.552 0.751
Pd: 0.500 0.751 0.552
Pd: 0.500 0.249 0.448
Pd: 0.500 0.448 0.249
Cd: 0.500 0.376 0.845
Cd: 0.500 0.785 0.935
Cd: 0.500 0.500 0.500
Cd: 0.500 0.935 0.785
Cd: 0.500 0.624 0.155
Cd: 0.500 0.155 0.624
Cd: 0.500 0.845 0.376
Cd: 0.500 0.215 0.065
Cd: 0.500 0.065 0.215

Computed properties:
- DOS at the Fermi energy: 0.340 states/eV/atom
- Spin magnetization: 0.00 μB per formula unit

=====

A plane-wave DFT calculation with GGA-PBE was carried out for a geometry-optimized LiCd3Pd structure.

Cell: 4.549 4.571 9.144 Å, 90.00 75.49 90.00°
Element x y z (fractional)
Cd: 0.645 0.844 0.428
Cd: 0.955 0.345 0.808
Cd: 0.146 0.345 0.426
Cd: 0.457 0.844 0.807
Cd: 0.766 0.345 0.187
Cd: 0.265 0.844 0.188
Pd: 0.551 0.344 0.617
Pd: 0.861 0.845 0.998
Li: 0.048 0.845 0.623
Li: 0.363 0.344 0.991

Computed properties:
- DOS at the Fermi energy: 0.164 states/eV/atom
- Spin magnetization: 0.00 μB per formula unit

=====

A plane-wave DFT calculation with GGA-PBE was carried out for a geometry-optimized Li4Cd2Pd5 structure.

Cell: 5.604 5.473 7.223 Å, 83.05 67.17 59.20°
Element x y z (fractional)
Li: 0.728 0.683 0.861
Li: 0.719 0.040 0.522
Li: 0.281 0.960 0.478
Li: 0.272 0.317 0.139
Cd: 0.710 0.362 0.218
Cd: 0.290 0.638 0.782
Pd: 0.242 0.163 0.829
Pd: 0.235 0.837 0.171
Pd: 0.765 0.163 0.829
Pd: 0.758 0.837 0.171
Pd: 0.000 0.500 0.500

Computed properties:
- DOS at the Fermi energy: 0.224 states/eV/atom
- Spin magnetization: 0.00 μB per formula unit

=====

A plane-wave DFT calculation with GGA-PBE was carried out for a geometry-optimized Li4Cd5Pd structure.

Cell: 3.363 3.363 15.947 Å, 90.00 90.00 90.00°
Element x y z (fractional)
Cd: 0.500 0.500 0.299
Cd: 0.500 0.500 0.701
Cd: 0.500 0.500 0.500
Cd: 0.500 0.500 0.901
Cd: 0.500 0.500 0.099
Li: 0.000 0.000 0.196
Li: 0.000 0.000 0.400
Li: 0.000 0.000 0.600
Li: 0.000 0.000 0.804
Pd: 0.000 0.000 0.000

Computed properties:
- DOS at the Fermi energy: 0.409 states/eV/atom
- Spin magnetization: 0.00 μB per formula unit

=====

A plane-wave DFT calculation with GGA-PBE was carried out for a geometry-optimized Li3CdPd4 structure.

Cell: 4.316 6.321 8.634 Å, 90.00 90.00 90.00°
Element x y z (fractional)
Pd: 0.500 0.770 0.500
Pd: 0.000 0.770 0.250
Pd: 0.500 0.770 0.000
Pd: 0.500 0.230 0.500
Pd: 0.500 0.230 0.000
Pd: 0.000 0.230 0.250
Pd: 0.000 0.230 0.750
Pd: 0.000 0.770 0.750
Li: 0.500 0.500 0.750
Li: 0.500 0.000 0.750
Li: 0.500 0.000 0.250
Li: 0.000 0.000 0.000
Li: 0.000 0.000 0.500
Li: 0.500 0.500 0.250
Cd: 0.000 0.500 0.500
Cd: 0.000 0.500 0.000

Computed properties:
- DOS at the Fermi energy: 0.296 states/eV/atom
- Spin magnetization: 0.00 μB per formula unit

=====

A plane-wave DFT calculation with GGA-PBE was carried out for a geometry-optimized Li7Cd2Pd structure.

Cell: 6.762 6.762 6.762 Å, 60.00 60.00 60.00°
Element x y z (fractional)
Li: 0.244 0.756 0.756
Li: 0.756 0.244 0.756
Li: 0.500 0.500 0.500
Li: 0.756 0.756 0.244
Li: 0.244 0.756 0.244
Li: 0.756 0.244 0.244
Li: 0.244 0.244 0.756
Pd: 0.000 0.000 0.000
Cd: 0.750 0.750 0.750
Cd: 0.250 0.250 0.250

Computed properties:
- DOS at the Fermi energy: 0.759 states/eV/atom
- Spin magnetization: 0.00 μB per formula unit

=====

A plane-wave DFT calculation with GGA-PBE was carried out for a geometry-optimized Li3Cd4Pd structure.

Cell: 4.931 6.092 9.584 Å, 90.00 90.00 90.00°
Element x y z (fractional)
Li: 0.000 0.000 0.500
Li: 0.000 0.000 0.000
Li: 0.407 0.000 0.250
Li: 0.607 0.500 0.750
Li: 0.593 0.000 0.750
Li: 0.393 0.500 0.250
Cd: 0.500 0.252 0.000
Cd: 0.500 0.252 0.500
Cd: 0.500 0.748 0.500
Cd: 0.914 0.750 0.250
Cd: 0.086 0.250 0.750
Cd: 0.086 0.750 0.750
Cd: 0.914 0.250 0.250
Cd: 0.500 0.748 0.000
Pd: 0.000 0.500 0.000
Pd: 0.000 0.500 0.500

Computed properties:
- DOS at the Fermi energy: 0.279 states/eV/atom
- Spin magnetization: 0.00 μB per formula unit

=====

A plane-wave DFT calculation with GGA-PBE was carried out for a geometry-optimized LiCdPd2 structure.

Cell: 3.900 3.900 9.644 Å, 78.34 78.34 90.00°
Element x y z (fractional)
Pd: 0.616 0.125 0.250
Pd: 0.134 0.625 0.250
Pd: 0.875 0.866 0.750
Pd: 0.375 0.384 0.750
Li: 0.500 0.500 0.000
Li: 0.250 0.750 0.500
Cd: 0.000 0.000 0.000
Cd: 0.750 0.250 0.500

Computed properties:
- DOS at the Fermi energy: 0.603 states/eV/atom
- Spin magnetization: 0.00 μB per formula unit

=====

ΔE_f / eV per atom: -0.28 -0.39 0.00 -0.16 -0.31 -0.33 -0.34 -0.29 -0.43 0.11 -0.31 -0.12